one | # Ba2LaTl | Alexandria via LeMat-Bulk | GGA-PBE | optimized geometry
# Crystal system: monoclinic
data_Ba2LaTl
_chemical_formula_sum 'Ba4 La2 Tl2'
_space_group_name_H-M_alt 'C 1 m 1'
_space_group_IT_number 8
_cell_length_a 15.042
_cell_length_b 4.411
_cell_length_c 6.028
_cell_angle_alpha 90.00
_cell_angle_beta 113.55
_cell_angle_gamma 90.00
loop_
_space_group_symop_operation_xyz
'x,y,z'
'x,-y,z'
'x+1/2,y+1/2,z'
'x+1/2,-y+1/2,z'
loop_
_atom_site_label
_atom_site_type_symbol
_atom_site_fract_x
_atom_site_fract_y
_atom_site_fract_z
Ba1 Ba 0.000 0.000 0.000
Ba2 Ba 0.208 0.000 0.714
La1 La 0.406 0.000 0.407
Tl1 Tl 0.228 0.500 0.236

two | # Ba2LaTl | Alexandria via LeMat-Bulk | GGA-PBE | optimized geometry
# Crystal system: orthorhombic
data_Ba2LaTl
_chemical_formula_sum 'Ba4 La2 Tl2'
_space_group_name_H-M_alt 'I m m m'
_space_group_IT_number 71
_space_group_name_Hall '-I 2 2'
_cell_length_a 4.437
_cell_length_b 5.827
_cell_length_c 12.973
_cell_angle_alpha 90.00
_cell_angle_beta 90.00
_cell_angle_gamma 90.00
loop_
_atom_site_label
_atom_site_type_symbol
_atom_site_fract_x
_atom_site_fract_y
_atom_site_fract_z
Ba1 Ba 0.000 0.000 0.214
La1 La 0.000 0.500 0.000
Tl1 Tl 0.000 0.500 0.500

Most stable: one. Least stable: two.

one | # Ba2LaTl | Alexandria via LeMat-Bulk | GGA-PBE | optimized geometry
# Crystal system: orthorhombic
data_Ba2LaTl
_chemical_formula_sum 'Ba2 La1 Tl1'
_space_group_name_H-M_alt 'P m m m'
_space_group_IT_number 47
_cell_length_a 4.044
_cell_length_b 5.394
_cell_length_c 7.666
_cell_angle_alpha 90.00
_cell_angle_beta 90.00
_cell_angle_gamma 90.00
loop_
_space_group_symop_operation_xyz
'x,y,z'
'-x,-y,-z'
'-x,-y,z'
'x,y,-z'
'x,-y,-z'
'-x,y,z'
'-x,y,-z'
'x,-y,z'
loop_
_atom_site_label
_atom_site_type_symbol
_atom_site_fract_x
_atom_site_fract_y
_atom_site_fract_z
Ba1 Ba 0.000 0.000 0.235
La1 La 0.500 0.500 0.500
Tl1 Tl 0.500 0.500 0.000

two | # Ba2LaTl | Alexandria via LeMat-Bulk | GGA-PBE | optimized geometry
# Crystal system: monoclinic
data_Ba2LaTl
_chemical_formula_sum 'Ba4 La2 Tl2'
_space_group_name_H-M_alt 'C 1 2/m 1'
_space_group_IT_number 12
_cell_length_a 7.727
_cell_length_b 10.579
_cell_length_c 4.081
_cell_angle_alpha 90.00
_cell_angle_beta 90.13
_cell_angle_gamma 90.00
loop_
_space_group_symop_operation_xyz
'x,y,z'
'-x,-y,-z'
'-x,y,-z'
'x,-y,z'
'x+1/2,y+1/2,z'
'-x+1/2,-y+1/2,-z'
'-x+1/2,y+1/2,-z'
'x+1/2,-y+1/2,z'
loop_
_atom_site_label
_atom_site_type_symbol
_atom_site_fract_x
_atom_site_fract_y
_atom_site_fract_z
Ba1 Ba 0.250 0.250 0.000
La1 La 0.000 0.000 0.500
Tl1 Tl 0.000 0.500 0.500

Most stable: one. Least stable: two.

one | # Ba2LaTl | Alexandria via LeMat-Bulk | GGA-PBE | optimized geometry
# Crystal system: cubic
data_Ba2LaTl
_chemical_formula_sum 'Ba8 La4 Tl4'
_space_group_name_H-M_alt 'F m -3 m'
_space_group_IT_number 225
_space_group_name_Hall '-F 4 2 3'
_cell_length_a 8.766
_cell_length_b 8.766
_cell_length_c 8.766
_cell_angle_alpha 90.00
_cell_angle_beta 90.00
_cell_angle_gamma 90.00
loop_
_atom_site_label
_atom_site_type_symbol
_atom_site_fract_x
_atom_site_fract_y
_atom_site_fract_z
Ba1 Ba 0.250 0.250 0.250
La1 La 0.000 0.000 0.000
Tl1 Tl 0.000 0.000 0.500

two | # Ba2LaTl | Alexandria via LeMat-Bulk | GGA-PBE | optimized geometry
# Crystal system: tetragonal
data_Ba2LaTl
_chemical_formula_sum 'Ba2 La1 Tl1'
_space_group_name_H-M_alt 'P 4/m m m'
_space_group_IT_number 123
_space_group_name_Hall '-P 4 2'
_cell_length_a 6.245
_cell_length_b 6.245
_cell_length_c 4.286
_cell_angle_alpha 90.00
_cell_angle_beta 90.00
_cell_angle_gamma 90.00
loop_
_atom_site_label
_atom_site_type_symbol
_atom_site_fract_x
_atom_site_fract_y
_atom_site_fract_z
Ba1 Ba 0.000 0.500 0.000
La1 La 0.000 0.000 0.500
Tl1 Tl 0.500 0.500 0.500

three | # Ba2LaTl | Alexandria via LeMat-Bulk | GGA-PBE | optimized geometry
# Crystal system: cubic
data_Ba2LaTl
_chemical_formula_sum 'Ba8 La4 Tl4'
_space_group_name_H-M_alt 'F -4 3 m'
_space_group_IT_number 216
_space_group_name_Hall 'F -4 2 3'
_cell_length_a 8.655
_cell_length_b 8.655
_cell_length_c 8.655
_cell_angle_alpha 90.00
_cell_angle_beta 90.00
_cell_angle_gamma 90.00
loop_
_atom_site_label
_atom_site_type_symbol
_atom_site_fract_x
_atom_site_fract_y
_atom_site_fract_z
Ba1 Ba 0.000 0.000 0.000
Ba2 Ba 0.250 0.250 0.250
La1 La 0.000 0.000 0.500
Tl1 Tl 0.250 0.250 0.750

Most stable: two. Least stable: one.

one | # BaLa2Tl2 | Alexandria via LeMat-Bulk | GGA-PBE | optimized geometry
# Crystal system: monoclinic
data_BaLa2Tl2
_chemical_formula_sum 'Ba2 La4 Tl4'
_space_group_name_H-M_alt 'P 1 21/m 1'
_space_group_IT_number 11
_cell_length_a 7.631
_cell_length_b 5.462
_cell_length_c 9.491
_cell_angle_alpha 90.00
_cell_angle_beta 113.66
_cell_angle_gamma 90.00
loop_
_space_group_symop_operation_xyz
'x,y,z'
'-x,-y,-z'
'-x,y+1/2,-z'
'x,-y+1/2,z'
loop_
_atom_site_label
_atom_site_type_symbol
_atom_site_fract_x
_atom_site_fract_y
_atom_site_fract_z
Ba1 Ba 0.094 0.250 0.186
La1 La 0.272 0.750 0.543
La2 La 0.453 0.750 0.909
Tl1 Tl 0.164 0.250 0.737
Tl2 Tl 0.428 0.750 0.264

two | # BaLa2Tl2 | Alexandria via LeMat-Bulk | GGA-PBE | optimized geometry
# Crystal system: tetragonal
data_BaLa2Tl2
_chemical_formula_sum 'Ba2 La4 Tl4'
_space_group_name_H-M_alt 'I 4/m m m'
_space_group_IT_number 139
_space_group_name_Hall '-I 4 2'
_cell_length_a 5.109
_cell_length_b 5.109
_cell_length_c 14.696
_cell_angle_alpha 90.00
_cell_angle_beta 90.00
_cell_angle_gamma 90.00
loop_
_atom_site_label
_atom_site_type_symbol
_atom_site_fract_x
_atom_site_fract_y
_atom_site_fract_z
Ba1 Ba 0.000 0.000 0.000
La1 La 0.000 0.500 0.250
Tl1 Tl 0.000 0.000 0.398

Most stable: one. Least stable: two.